# K2BaMnF8 PBE with a Hubbard U relaxed
data_K2BaMnF8
_chemical_formula_sum 'K2 Ba1 Mn1 F8'
_space_group_name_H-M_alt 'P 1 2/m 1'
_space_group_IT_number 10
_space_group_name_Hall '-P 2y'
_cell_length_a 4.559
_cell_length_b 7.822
_cell_length_c 6.017
_cell_angle_alpha 90.00
_cell_angle_beta 96.16
_cell_angle_gamma 90.00
loop_
_atom_site_label
_atom_site_type_symbol
_atom_site_fract_x
_atom_site_fract_y
_atom_site_fract_z
_atom_site_occupancy
K1 K 0.000 0.233 0.000 1
Ba1 Ba 0.500 0.500 0.500 1
Mn1 Mn 0.500 0.000 0.500 1
F1 F 0.016 0.500 0.744 1
F2 F 0.151 0.000 0.320 1
F3 F 0.390 0.175 0.685 1
# D(E_F), states/eV/f.u.: 0.00
# Total energy, eV per atom: -5.05